Compound: LiTiH2
Source: Alexandria via LeMat-Bulk
Functional: PBE
Structure: relaxed

Properties
Spin magnetization, μB/cell: 0.5
Polymorph energy (0 for the lowest one), eV/atom: 0.176

Cell: 4.114 4.114 9.119 Å, 90.00 90.00 90.00°
Space group I-42d (No. 122)
Inequivalent atoms, fractional coordinates:
Li 0.000 0.000 0.000
Ti 0.000 0.000 0.500
H 0.245 0.250 0.625

***

Compound: Pm8ZnIr5
Source: Alexandria via LeMat-Bulk
Functional: PBE
Structure: relaxed

Properties
Spin magnetization, μB/cell: 0.0
Energy of formation from the pure elements, eV/f.u.: -7.9

Cell: 8.919 8.919 8.819 Å, 90.00 90.00 90.00°
Space group I-4 (No. 82)
Inequivalent atoms, fractional coordinates:
Pm 0.061 0.193 0.320
Pm 0.068 0.322 0.934
Zn 0.000 0.000 0.000
Ir 0.000 0.500 0.250
Ir 0.134 0.254 0.627

***

Compound: UCoTc2
Source: Alexandria via LeMat-Bulk
Functional: PBE
Structure: relaxed

Properties
Spin magnetization, μB/cell: 3.3
Polymorph energy (0 for the lowest one), eV/atom: 0.182
Energy of formation from the pure elements, eV/f.u.: 0.4

Cell: 4.5117 4.5117 11.2014 Å, 90.00 90.00 120.00°
Space group R-3m (No. 166, hexagonal axes)
Inequivalent atoms, fractional coordinates:
U 0.0000 0.0000 0.0000
Co 0.0000 0.0000 0.5000
Tc 0.0000 0.0000 0.2132